[1]
Density functional theory data (PBE) for crystalline Cs2RbBaI5 at its relaxed geometry.

a b c (Å): 11.534 11.534 17.803
angles (deg): 90.00 90.00 153.53
Sites, in units of the cell vectors:
Cs  0.078  0.922  0.500
Cs  0.134  0.866  0.141
Cs  0.866  0.134  0.641
Cs  0.922  0.078  0.000
Rb  0.452  0.548  0.296
Rb  0.548  0.452  0.796
Ba  0.234  0.766  0.879
Ba  0.766  0.234  0.379
I  0.085  0.915  0.922
I  0.253  0.747  0.511
I  0.290  0.710  0.253
I  0.385  0.615  0.838
I  0.492  0.508  0.611
I  0.508  0.492  0.111
I  0.615  0.385  0.338
I  0.710  0.290  0.753
I  0.747  0.253  0.011
I  0.915  0.085  0.422

Output
As for the density of states at the Fermi level: 0.0 states/eV per cell. The space-group type is Cmc2_1. The size of the total moment is 0.01 μB/f.u. The crystal system is orthorhombic. The calculated total energy comes out at -2.97 eV/atom.



[2]
Density functional theory data (PBE) for crystalline Cs2BaReI6 at its relaxed geometry.

a b c (Å): 8.644 8.644 8.644
angles (deg): 60.00 60.00 60.00
Sites, in units of the cell vectors:
Cs  0.250  0.250  0.250
Cs  0.750  0.750  0.750
Ba  0.000  0.000  0.000
Re  0.500  0.500  0.500
I  0.275  0.275  0.725
I  0.275  0.725  0.275
I  0.275  0.725  0.725
I  0.725  0.275  0.275
I  0.725  0.275  0.725
I  0.725  0.725  0.275

Output
As for the density of states at the Fermi level: 10.4 states/eV per cell. The space-group type is Fm-3m. The size of the total moment is 1.00 μB/f.u. The crystal system is cubic. The calculated total energy comes out at -3.39 eV/atom.



[3]
Density functional theory data (PBE) for crystalline Cs2BaRhI6 at its relaxed geometry.

a b c (Å): 8.690 8.690 8.690
angles (deg): 119.79 119.79 90.36
Sites, in units of the cell vectors:
Cs  0.250  0.750  0.500
Cs  0.750  0.250  0.500
Ba  0.000  0.000  0.000
Rh  0.500  0.500  0.000
I  0.273  0.273  0.547
I  0.273  0.727  0.000
I  0.275  0.275  0.000
I  0.725  0.725  0.000
I  0.727  0.273  0.000
I  0.727  0.727  0.453

Output
As for the density of states at the Fermi level: 3.8 states/eV per cell. The space-group type is I4/mmm. The size of the total moment is 1.00 μB/f.u. The crystal system is tetragonal. The calculated total energy comes out at -3.11 eV/atom.



[4]
Density functional theory data (PBE) for crystalline CsBaSI at its relaxed geometry.

a b c (Å): 9.297 9.297 9.297
angles (deg): 30.01 30.01 30.01
Sites, in units of the cell vectors:
Cs  0.000  0.000  0.000
Ba  0.196  0.196  0.196
S  0.582  0.582  0.582
I  0.773  0.773  0.773

Output
As for the density of states at the Fermi level: 0.0 states/eV per cell. The space-group type is R3m. The size of the total moment is 0.11 μB/f.u. The crystal system is trigonal. The calculated total energy comes out at -3.81 eV/atom.



[5]
Density functional theory data (PBE) for crystalline Cs2BaSI6 at its relaxed geometry.

a b c (Å): 8.950 8.950 8.950
angles (deg): 117.13 117.13 95.06
Sites, in units of the cell vectors:
Cs  0.250  0.750  0.500
Cs  0.750  0.250  0.500
Ba  0.000  0.000  0.000
S  0.500  0.500  0.000
I  0.255  0.255  0.510
I  0.255  0.745  0.000
I  0.282  0.282  0.000
I  0.718  0.718  0.000
I  0.745  0.255  0.000
I  0.745  0.745  0.490

Output
As for the density of states at the Fermi level: 0.0 states/eV per cell. The space-group type is I4/mmm. The size of the total moment is 2.00 μB/f.u. The crystal system is tetragonal. The calculated total energy comes out at -2.62 eV/atom.



[6]
Density functional theory data (PBE) for crystalline CsBa2SbI8 at its relaxed geometry.

a b c (Å): 7.768 7.792 10.721
angles (deg): 90.03 90.08 90.50
Sites, in units of the cell vectors:
Cs  0.000  0.000  0.000
Ba  0.500  0.500  0.256
Ba  0.500  0.500  0.744
Sb  0.000  0.000  0.500
I  0.227  0.332  0.500
I  0.235  0.858  0.298
I  0.236  0.859  0.702
I  0.253  0.408  0.000
I  0.747  0.592  0.000
I  0.764  0.141  0.298
I  0.765  0.142  0.702
I  0.773  0.668  0.500

Output
As for the density of states at the Fermi level: 0.0 states/eV per cell. The space-group type is P-1. The size of the total moment is 0.00 μB/f.u. The crystal system is triclinic. The calculated total energy comes out at -2.97 eV/atom.



[7]
Density functional theory data (PBE) for crystalline CsBaSbI2 at its relaxed geometry.

a b c (Å): 6.755 6.755 6.424
angles (deg): 90.00 90.00 90.00
Sites, in units of the cell vectors:
Cs  0.000  0.000  0.000
Ba  0.500  0.500  0.500
Sb  0.000  0.000  0.500
I  0.000  0.500  0.000
I  0.500  0.000  0.000

Output
The energy above the lowest structure with this stoichiometry comes out at 2.779 eV/f.u. As for the density of states at the Fermi level: 5.3 states/eV per cell. The space-group type is P4/mmm. The size of the total moment is 1.03 μB/f.u. The crystal system is tetragonal.



[8]
Density functional theory data (PBE) for crystalline CsBaSb2I at its relaxed geometry.

a b c (Å): 6.187 6.187 6.777
angles (deg): 90.00 90.00 90.00
Sites, in units of the cell vectors:
Cs  0.000  0.000  0.000
Ba  0.500  0.500  0.500
Sb  0.000  0.500  0.000
Sb  0.500  0.000  0.000
I  0.000  0.000  0.500

Output
The energy above the lowest structure with this stoichiometry comes out at 2.100 eV/f.u. As for the density of states at the Fermi level: 8.0 states/eV per cell. The space-group type is P4/mmm. The size of the total moment is 0.60 μB/f.u. The crystal system is tetragonal.



[9]
Density functional theory data (PBE) for crystalline CsBaSb2I at its relaxed geometry.

a b c (Å): 6.636 6.636 6.807
angles (deg): 90.00 90.00 90.00
Sites, in units of the cell vectors:
Cs  0.000  0.000  0.000
Ba  0.500  0.500  0.500
Sb  0.000  0.500  0.500
Sb  0.500  0.000  0.500
I  0.500  0.500  0.000

Output
The energy above the lowest structure with this stoichiometry comes out at 0.000 eV/f.u. As for the density of states at the Fermi level: 5.0 states/eV per cell. The space-group type is P4/mmm. The size of the total moment is 1.92 μB/f.u. The crystal system is tetragonal.



[10]
Density functional theory data (PBE) for crystalline CsBaSbI2 at its relaxed geometry.

a b c (Å): 6.803 6.803 6.939
angles (deg): 90.00 90.00 90.00
Sites, in units of the cell vectors:
Cs  0.000  0.000  0.000
Ba  0.500  0.500  0.500
Sb  0.500  0.500  0.000
I  0.000  0.500  0.500
I  0.500  0.000  0.500

Output
The energy above the lowest structure with this stoichiometry comes out at 0.000 eV/f.u. As for the density of states at the Fermi level: 3.0 states/eV per cell. The space-group type is P4/mmm. The size of the total moment is 2.00 μB/f.u. The crystal system is tetragonal.



[11]
Density functional theory data (PBE) for crystalline Cs2BaSeI6 at its relaxed geometry.

a b c (Å): 9.073 9.073 9.073
angles (deg): 117.31 117.31 94.72
Sites, in units of the cell vectors:
Cs  0.250  0.750  0.500
Cs  0.750  0.250  0.500
Ba  0.000  0.000  0.000
Se  0.500  0.500  0.000
I  0.252  0.252  0.505
I  0.252  0.748  0.000
I  0.277  0.277  0.000
I  0.723  0.723  0.000
I  0.748  0.252  0.000
I  0.748  0.748  0.495

Output
As for the density of states at the Fermi level: 0.0 states/eV per cell. The space-group type is I4/mmm. The size of the total moment is 2.00 μB/f.u. The crystal system is tetragonal. The calculated total energy comes out at -2.62 eV/atom.



[12]
Density functional theory data (PBE) for crystalline CsBaSeI at its relaxed geometry.

a b c (Å): 9.419 9.419 9.419
angles (deg): 30.34 30.34 30.34
Sites, in units of the cell vectors:
Cs  0.000  0.000  0.000
Ba  0.809  0.809  0.809
Se  0.419  0.419  0.419
I  0.229  0.229  0.229

Output
As for the density of states at the Fermi level: 0.0 states/eV per cell. The space-group type is R3m. The size of the total moment is 0.04 μB/f.u. The crystal system is trigonal. The calculated total energy comes out at -3.64 eV/atom.



size of the total moment of number 11 (Cs2BaSeI6)? 2.00 μB/f.u.



Which value of size of the total moment does entry 6 give? 0.00 μB/f.u.